The following is a DFT calculation (GGA-PBE) of an optimized crystal structure of ZrTi2InB.

Unit cell a=4.3809 b=4.3809 c=4.6122 alpha=90.00 beta=90.00 gamma=90.00
Space group P4/mmm (No. 123)
One atom of each set of equivalent atoms:
Zr  0.0000  0.0000  0.0000 x1
Ti  0.0000  0.5000  0.5000 x2
In  0.5000  0.5000  0.0000 x1
B  0.0000  0.0000  0.5000 x1

Summary:
magnetization = 0.00 μB per cell
energy of formation from the pure elements = -183.2 kJ/mol of formula units
crystal system = tetragonal
uncorrected energy = -35.65 eV per formula unit